# PBE HfCu2, optimized geometry
# DFT formation energy   -0.0923 eV/atom
data_HfCu2
_chemical_formula_sum 'Hf4 Cu8'
_symmetry_space_group_name_H-M 'P 63/m m c'
_symmetry_Int_Tables_number 194
_symmetry_space_group_name_Hall '-P 6c 2c'
_cell_length_a 5.0217
_cell_length_b 5.0217
_cell_length_c 8.0981
_cell_angle_alpha 90.00
_cell_angle_beta 90.00
_cell_angle_gamma 120.00
loop_
_atom_site_label
_atom_site_fract_x
_atom_site_fract_y
_atom_site_fract_z
Hf1 0.3333 0.6667 0.0470
Cu1 0.0000 0.0000 0.0000
Cu2 0.1690 0.3380 0.7500

# PBE Hf2Cu7, optimized geometry
# DFT formation energy   -0.0586 eV/atom
data_Hf2Cu7
_chemical_formula_sum 'Hf12 Cu42'
_symmetry_space_group_name_H-M 'R -3 m'
_symmetry_Int_Tables_number 166
_symmetry_space_group_name_Hall '-R 3 2"'
_cell_length_a 4.8900
_cell_length_b 4.8900
_cell_length_c 36.4101
_cell_angle_alpha 90.00
_cell_angle_beta 90.00
_cell_angle_gamma 120.00
loop_
_atom_site_label
_atom_site_fract_x
_atom_site_fract_y
_atom_site_fract_z
Hf1 0.0000 0.0000 0.0506
Hf2 0.0000 0.0000 0.1464
Cu1 0.0000 0.0000 0.2777
Cu2 0.0000 0.0000 0.3890
Cu3 0.0000 0.0000 0.5000
Cu4 0.0000 0.5000 0.0000
Cu5 0.0022 0.5011 0.8888

# PBE Hf2CuHg3, optimized geometry
# DFT formation energy   0.0103 eV/atom
data_Hf2CuHg3
_chemical_formula_sum 'Hf2 Cu1 Hg3'
_symmetry_space_group_name_H-M 'P 4 m m'
_symmetry_Int_Tables_number 99
_symmetry_space_group_name_Hall 'P 4 -2'
_cell_length_a 3.2197
_cell_length_b 3.2197
_cell_length_c 11.3930
_cell_angle_alpha 90.00
_cell_angle_beta 90.00
_cell_angle_gamma 90.00
loop_
_atom_site_label
_atom_site_fract_x
_atom_site_fract_y
_atom_site_fract_z
Hf1 0.0000 0.0000 0.0000
Hf2 0.5000 0.5000 0.4546
Cu1 0.0000 0.0000 0.3149
Hg1 0.0000 0.0000 0.6332
Hg2 0.5000 0.5000 0.1736
Hg3 0.5000 0.5000 0.8236

# PBE Hf2Cu3Hg, optimized geometry
# DFT formation energy   -0.0449 eV/atom
data_Hf2Cu3Hg
_chemical_formula_sum 'Hf2 Cu3 Hg1'
_symmetry_space_group_name_H-M 'P 4 m m'
_symmetry_Int_Tables_number 99
_symmetry_space_group_name_Hall 'P 4 -2'
_cell_length_a 3.2016
_cell_length_b 3.2016
_cell_length_c 9.7085
_cell_angle_alpha 90.00
_cell_angle_beta 90.00
_cell_angle_gamma 90.00
loop_
_atom_site_label
_atom_site_fract_x
_atom_site_fract_y
_atom_site_fract_z
Hf1 0.0000 0.0000 0.0000
Hf2 0.5000 0.5000 0.4552
Cu1 0.0000 0.0000 0.2884
Cu2 0.5000 0.5000 0.1636
Cu3 0.5000 0.5000 0.8352
Hg1 0.0000 0.0000 0.6697

# PBE HfCu2Hg, optimized geometry
# DFT formation energy   0.0407 eV/atom
data_HfCu2Hg
_chemical_formula_sum 'Hf4 Cu8 Hg4'
_symmetry_space_group_name_H-M 'F -4 3 m'
_symmetry_Int_Tables_number 216
_symmetry_space_group_name_Hall 'F -4 2 3'
_cell_length_a 6.4156
_cell_length_b 6.4156
_cell_length_c 6.4156
_cell_angle_alpha 90.00
_cell_angle_beta 90.00
_cell_angle_gamma 90.00
loop_
_atom_site_label
_atom_site_fract_x
_atom_site_fract_y
_atom_site_fract_z
Hf1 0.0000 0.0000 0.0000
Cu1 0.0000 0.0000 0.5000
Cu2 0.2500 0.2500 0.2500
Hg1 0.2500 0.2500 0.7500

# PBE HfCuHg2, optimized geometry
# DFT formation energy   0.1362 eV/atom
data_HfCuHg2
_chemical_formula_sum 'Hf4 Cu4 Hg8'
_symmetry_space_group_name_H-M 'F -4 3 m'
_symmetry_Int_Tables_number 216
_symmetry_space_group_name_Hall 'F -4 2 3'
_cell_length_a 6.7119
_cell_length_b 6.7119
_cell_length_c 6.7119
_cell_angle_alpha 90.00
_cell_angle_beta 90.00
_cell_angle_gamma 90.00
loop_
_atom_site_label
_atom_site_fract_x
_atom_site_fract_y
_atom_site_fract_z
Hf1 0.0000 0.0000 0.0000
Cu1 0.2500 0.2500 0.7500
Hg1 0.0000 0.0000 0.5000
Hg2 0.2500 0.2500 0.2500

# PBE HfCuHg, optimized geometry
# Energy above the lowest structure with this stoichiometry   91 meV per atom
# DFT formation energy   0.1004 eV/atom
data_HfCuHg
_chemical_formula_sum 'Hf4 Cu4 Hg4'
_symmetry_space_group_name_H-M 'F -4 3 m'
_symmetry_Int_Tables_number 216
_symmetry_space_group_name_Hall 'F -4 2 3'
_cell_length_a 6.1771
_cell_length_b 6.1771
_cell_length_c 6.1771
_cell_angle_alpha 90.00
_cell_angle_beta 90.00
_cell_angle_gamma 90.00
loop_
_atom_site_label
_atom_site_fract_x
_atom_site_fract_y
_atom_site_fract_z
Hf1 0.0000 0.0000 0.0000
Cu1 0.2500 0.2500 0.2500
Hg1 0.0000 0.0000 0.5000

# PBE HfCuHg, optimized geometry
# Energy above the lowest structure with this stoichiometry   6 meV per atom
# DFT formation energy   0.0153 eV/atom
data_HfCuHg
_chemical_formula_sum 'Hf2 Cu2 Hg2'
_symmetry_space_group_name_H-M 'P 4/m m m'
_symmetry_Int_Tables_number 123
_symmetry_space_group_name_Hall '-P 4 2'
_cell_length_a 3.3117
_cell_length_b 3.3117
_cell_length_c 9.8189
_cell_angle_alpha 90.00
_cell_angle_beta 90.00
_cell_angle_gamma 90.00
loop_
_atom_site_label
_atom_site_fract_x
_atom_site_fract_y
_atom_site_fract_z
Hf1 0.0000 0.0000 0.0000
Hf2 0.5000 0.5000 0.5000
Cu1 0.0000 0.0000 0.3513
Hg1 0.5000 0.5000 0.1944

- What is the DFT formation energy in the fourth record?
  -0.0449 eV/atom

- Among the records above, which one has the highest DFT formation energy?
  HfCuHg2

- The lowest DFT formation energy belongs to which entry?
  HfCu2